[1]
Material: Sr2AsHPd6
Method: DFT, GGA-PBE
State: relaxed

Cell: 5.948 6.792 6.796 Å, 52.13 64.04 89.86°
Atoms (fractional coordinates):
H 0.500 0.500 0.000
Pd 0.729 0.271 0.041
Pd 0.228 0.271 0.041
Pd 0.729 0.773 0.540
Sr 0.273 0.726 0.453
Pd 0.772 0.729 0.959
As 0.000 0.000 0.000
Pd 0.271 0.729 0.959
Sr 0.727 0.274 0.547
Pd 0.271 0.227 0.460

Summary:
D(E_F): 4.533 states/eV/f.u.
electronic total energy: -4.82 eV per atom
V: 18.063 Å³ per atom
space group: P-1

[2]
Material: AcNiS2
Method: DFT, GGA-PBE
State: relaxed

Cell: 4.653 4.653 7.379 Å, 71.62 71.62 60.00°
Each line ends with the local moment (μB).
Atoms (fractional coordinates):
Ni 0.000 0.000 0.000  0.85
S 0.102 0.102 0.693  0.04
Ac 0.500 0.500 0.500  0.02
S 0.898 0.898 0.307  0.04

Summary:
D(E_F): 7.237 states/eV/f.u.
formation energy from raw total energies: -4.394 eV per formula unit
V: 32.215 Å³ per atom
space group: R-3m